Material: LiSm2IrO6
Method: DFT, PBE
State: relaxed

```
LiSm2IrO6
1.0
5.333 0.000 0.000
0.000 5.748 0.000
-5.243 0.000 7.627
Li Sm Ir O
2 4 2 12
Cartesian
0.000 0.000 0.000
-2.621 2.874 3.813
-2.709 0.440 5.705
-0.087 2.435 1.892
0.177 3.314 5.735
2.799 5.309 1.922
0.045 0.000 3.813
2.666 2.874 0.000
-1.587 1.088 3.430
-4.209 1.786 7.244
-0.919 4.067 3.401
-3.540 4.556 7.215
0.574 0.176 1.916
-2.047 2.698 5.730
2.137 3.050 1.897
-0.484 5.572 5.711
3.630 1.192 0.412
1.009 1.682 4.226
4.299 3.962 0.383
1.677 4.660 4.197
```

Properties
Crystal system: monoclinic
Space-group type: P2_1/c
Calculated total energy: -146.16 eV/cell



Material: AcPrLu
Method: DFT, PBE
State: relaxed

```
AcPrLu
1.0
8.005 0.000 0.000
0.000 8.005 0.000
0.000 0.000 8.005
Ac Pr Lu
4 4 4
Cartesian
0.000 0.000 0.000
0.000 4.003 4.003
4.003 0.000 4.003
4.003 4.003 0.000
0.000 0.000 4.003
0.000 4.003 0.000
4.003 0.000 0.000
4.003 4.003 4.003
2.001 2.001 2.001
2.001 6.004 6.004
6.004 2.001 6.004
6.004 6.004 2.001
```

Properties
Formation energy from the elements: 0.62 eV per atom
E above lowest polymorph: 0 meV/atom
Crystal system: cubic
Space-group type: F-43m
Calculated total energy: -46.13 eV/cell



Material: ScCuHgAs
Method: DFT, PBE
State: relaxed

```
ScCuHgAs
1.0
6.676 0.000 0.000
0.000 6.676 0.000
0.000 0.000 6.676
Sc Cu Hg As
4 4 4 4
Cartesian
0.000 0.000 0.000
0.000 3.338 3.338
3.338 0.000 3.338
3.338 3.338 0.000
0.000 0.000 3.338
0.000 3.338 0.000
3.338 0.000 0.000
3.338 3.338 3.338
1.669 1.669 5.007
1.669 5.007 1.669
5.007 1.669 1.669
5.007 5.007 5.007
1.669 1.669 1.669
1.669 5.007 5.007
5.007 1.669 5.007
5.007 5.007 1.669
```

Properties
E above lowest polymorph: 0 meV/atom
Crystal system: cubic
Space-group type: F-43m
Calculated total energy: -63.23 eV/cell



Material: Dy3Mg2ZnInGa2
Method: DFT, PBE
State: relaxed

```
Dy3Mg2ZnInGa2
1.0
4.506 0.000 0.000
0.000 6.334 3.553
0.000 -6.334 3.553
Dy Mg Zn In Ga
3 2 1 1 2
Cartesian
0.000 0.000 0.000
0.000 -2.798 2.364
0.000 2.798 2.364
2.253 -1.571 4.742
2.253 1.571 4.742
2.253 0.000 2.087
0.000 0.000 3.813
2.253 -4.258 3.948
2.253 4.258 3.948
```

Properties
Crystal system: orthorhombic
Space-group type: Amm2
Calculated total energy: -31.32 eV/cell



Material: CoCuRe6
Method: DFT, PBE
State: relaxed

```
CoCuRe6
1.0
5.412 0.000 0.000
-2.706 4.687 0.000
0.000 0.000 4.358
Co Cu Re
1 1 6
Cartesian
0.000 0.000 0.000
0.000 3.125 2.179
1.362 0.786 2.179
2.706 0.004 0.000
1.357 2.342 0.000
4.050 0.786 2.179
2.706 3.115 2.179
4.056 2.342 0.000
```

Properties
Formation energy from the elements: 0.01 eV per atom
Crystal system: hexagonal
Space-group type: P-6m2
Calculated total energy: -85.25 eV/cell



Material: BaZnO3
Method: DFT, PBE
State: relaxed

```
BaZnO3
1.0
6.108 0.000 0.000
0.000 8.065 0.000
0.000 0.000 6.555
Ba Zn O
4 4 12
Cartesian
0.000 0.000 0.000
0.000 4.033 0.000
3.054 0.000 3.278
3.054 4.033 3.278
0.035 2.016 2.713
3.019 6.049 5.991
3.089 2.016 0.565
6.073 6.049 3.842
0.896 1.245 4.341
0.896 2.787 4.341
1.344 2.016 1.249
1.710 6.049 4.526
2.158 5.278 1.064
2.158 6.820 1.064
3.951 1.245 5.492
3.951 2.787 5.492
4.398 2.016 2.029
4.764 6.049 5.307
5.212 5.278 2.214
5.212 6.820 2.214
```

Properties
Crystal system: orthorhombic
Space-group type: Pnma
Calculated total energy: -101.27 eV/cell